MgPd6Pt8: relaxed, PBE.

Lattice parameters (Å, degrees): 7.170 7.170 7.170 56.75 56.75 56.75
Atoms (fractional coordinates):
Mg (0.000, 0.000, 0.000)
Pd (0.074, 0.252, 0.543)
Pd (0.252, 0.543, 0.074)
Pd (0.457, 0.926, 0.748)
Pd (0.543, 0.074, 0.252)
Pd (0.748, 0.457, 0.926)
Pd (0.926, 0.748, 0.457)
Pt (0.164, 0.164, 0.164)
Pt (0.224, 0.399, 0.700)
Pt (0.300, 0.776, 0.601)
Pt (0.399, 0.700, 0.224)
Pt (0.601, 0.300, 0.776)
Pt (0.700, 0.224, 0.399)
Pt (0.776, 0.601, 0.300)
Pt (0.836, 0.836, 0.836)

Summary:
For the formation enthalpy at 0 K, the calculation gives -0.03 eV/atom. The calculation puts the density of states at the Fermi level at 21.28 states/eV/f.u.

=====

Mg12Pd5Pt2: relaxed, PBE.

Lattice parameters (Å, degrees): 7.891 7.891 8.746 100.20 100.20 45.59
Atoms (fractional coordinates):
Mg (0.024, 0.024, 0.285)
Mg (0.071, 0.562, 0.877)
Mg (0.093, 0.612, 0.420)
Mg (0.388, 0.907, 0.580)
Mg (0.438, 0.438, 0.184)
Mg (0.438, 0.929, 0.123)
Mg (0.562, 0.071, 0.877)
Mg (0.562, 0.562, 0.816)
Mg (0.612, 0.093, 0.420)
Mg (0.907, 0.388, 0.580)
Mg (0.929, 0.438, 0.123)
Mg (0.976, 0.976, 0.715)
Pd (0.156, 0.156, 0.858)
Pd (0.208, 0.208, 0.372)
Pd (0.500, 0.500, 0.500)
Pd (0.792, 0.792, 0.628)
Pd (0.844, 0.844, 0.142)
Pt (0.218, 0.782, 0.000)
Pt (0.782, 0.218, 0.000)

Summary:
For the formation enthalpy at 0 K, the calculation gives -0.43 eV/atom. The calculation puts the density of states at the Fermi level at 6.15 states/eV/f.u.

=====

no.,size of the total moment (μB per atom)
1,0.0000
2,0.0000